SiH6N2F6 (meta-GGA SCAN, PBEsol geometry); calculated total energy = -6.449 eV per atom; total magnetization = 0.00 μB per formula unit
1.0
7.455 0.000 0.000
0.000 8.480 0.000
0.000 0.000 7.744
Si H N F
4 24 8 24
Cartesian
0.000 0.000 0.000 Si
0.000 4.240 3.872 Si
3.728 0.000 3.872 Si
3.728 4.240 0.000 Si
0.068 1.034 2.860 H
0.068 3.206 6.732 H
0.593 5.434 7.190 H
0.593 7.286 3.318 H
1.109 0.874 4.264 H
1.109 3.366 0.392 H
2.619 5.114 4.264 H
2.619 7.606 0.392 H
3.135 1.194 7.190 H
3.135 3.046 3.318 H
3.659 5.273 2.860 H
3.659 7.446 6.732 H
3.796 1.034 1.013 H
3.796 3.206 4.885 H
4.321 5.434 4.426 H
4.321 7.286 0.554 H
4.836 0.874 7.352 H
4.836 3.366 3.480 H
6.347 5.114 7.352 H
6.347 7.606 3.480 H
6.862 1.194 4.426 H
6.862 3.046 0.554 H
7.387 5.273 1.013 H
7.387 7.446 4.885 H
0.138 0.703 3.864 N
0.138 3.536 7.736 N
3.590 4.943 3.864 N
3.590 7.776 7.736 N
3.866 0.703 0.009 N
3.866 3.536 3.881 N
7.317 4.943 0.009 N
7.317 7.776 3.881 N
0.365 5.306 2.573 F
0.365 7.414 6.446 F
1.126 5.075 4.848 F
1.126 7.644 0.976 F
1.214 1.061 7.230 F
1.214 3.179 3.358 F
2.513 5.301 7.230 F
2.513 7.419 3.358 F
2.601 0.835 4.848 F
2.601 3.405 0.976 F
3.363 1.066 2.573 F
3.363 3.174 6.446 F
4.093 5.306 1.299 F
4.093 7.414 5.171 F
4.854 5.075 6.768 F
4.854 7.644 2.896 F
4.942 1.061 4.386 F
4.942 3.179 0.514 F
6.241 5.301 4.386 F
6.241 7.419 0.514 F
6.329 0.835 6.768 F
6.329 3.405 2.896 F
7.091 1.066 1.299 F
7.091 3.174 5.171 F